Computed, not measured: a relaxed Cs3PaPb2O8 crystal at the GGA-PBE level of DFT.

Cell: 6.4485 6.4485 8.5647 Å, 90.00 90.00 120.00°
Sites, in units of the cell vectors:
1 Cs 0.0000 0.0000 0.0000
2 Cs 0.3333 0.6667 0.6929
3 Cs 0.6667 0.3333 0.3071
4 Pa 0.0000 0.0000 0.5000
5 Pb 0.3333 0.6667 0.2465
6 Pb 0.6667 0.3333 0.7535
7 O 0.1600 0.3199 0.3546
8 O 0.1600 0.8400 0.3546
9 O 0.3199 0.1600 0.6454
10 O 0.3333 0.6667 0.0130
11 O 0.6667 0.3333 0.9870
12 O 0.6801 0.8400 0.3546
13 O 0.8400 0.1600 0.6454
14 O 0.8400 0.6801 0.6454

Calculated values
Calculated density, g cm⁻³: 6.31
Formation energy from raw total energies, meV/atom: -1743
Size of the total moment, μB per formula unit: 0.0
SG: No. 164